No. 1
The following is a GGA-PBEsol calculation of an optimized crystal structure of Ca2TaInPd, from Alexandria via LeMat-Bulk.

a = 5.5760 Å, b = 5.5760 Å, c = 5.1496 Å
α = 90.00°, β = 90.00°, γ = 90.00°
With the nearest neighbours (Å) after each atom.
Space group P4/mmm (No. 123)
Unique sites:
Ca: 0.0000 0.5000 0.0000 (multiplicity 2)  2 In 2.79
Ta: 0.0000 0.0000 0.5000 (multiplicity 1)  2 In 2.57
In: 0.0000 0.0000 0.0000 (multiplicity 1)  2 Ta 2.57, 4 Ca 2.79
Pd: 0.5000 0.5000 0.5000 (multiplicity 1)  8 Ca 3.80, 4 Ta 3.94

## Properties
DOS at the Fermi energy: 1.236 states/eV per atom
Electronic total energy: -4.016 eV/atom
ΔH_f (0 K): 1.1353 eV per atom

***

No. 2
The following is a GGA-PBEsol calculation of an optimized crystal structure of CaInPt2, from Alexandria via LeMat-Bulk.

a = 6.0801 Å, b = 6.6467 Å, c = 3.6214 Å
α = 90.00°, β = 90.00°, γ = 90.00°
With the nearest neighbours (Å) after each atom.
Space group Cmmm (No. 65)
Unique sites:
Ca: 0.0000 0.0000 0.0000 (multiplicity 2)  8 Pt 2.89, 2 In 3.04
In: 0.0000 0.5000 0.0000 (multiplicity 2)  8 Pt 2.89, 2 Ca 3.04
Pt: 0.2500 0.2500 0.5000 (multiplicity 4)  4 In 2.89, 4 Ca 2.89, 2 Pt 3.04

## Properties
DOS at the Fermi energy: 0.296 states/eV per atom
Electronic total energy: -5.397 eV/atom
ΔH_f (0 K): -0.6359 eV per atom

***

No. 3
The following is a GGA-PBEsol calculation of an optimized crystal structure of CaInPt, from Alexandria via LeMat-Bulk.

a = 7.1884 Å, b = 4.3631 Å, c = 8.3271 Å
α = 90.00°, β = 90.00°, γ = 90.00°
With the nearest neighbours (Å) after each atom.
Space group Pnma (No. 62)
Unique sites:
Ca: 0.0308 0.2500 0.1774 (multiplicity 4)  5 Pt 3.03-3.10, 5 In 3.31-3.33
In: 0.1483 0.2500 0.5647 (multiplicity 4)  4 Pt 2.73-2.78
Pt: 0.2329 0.7500 0.3763 (multiplicity 4)  4 In 2.73-2.78, 1 Ca 3.03

## Properties
DOS at the Fermi energy: 0.391 states/eV per atom
Electronic total energy: -4.851 eV/atom
ΔH_f (0 K): -0.8246 eV per atom

***

No. 4
The following is a GGA-PBEsol calculation of an optimized crystal structure of RbCaInSb2, from Alexandria via LeMat-Bulk.

a = 5.9720 Å, b = 5.9720 Å, c = 5.6566 Å
α = 90.00°, β = 90.00°, γ = 90.00°
With the nearest neighbours (Å) after each atom.
Space group P4/mmm (No. 123)
Unique sites:
Rb: 0.0000 0.0000 0.0000 (multiplicity 1)  2 In 2.83, 4 Sb 2.99
Ca: 0.5000 0.5000 0.5000 (multiplicity 1)  8 Sb 4.11, 4 In 4.22
In: 0.0000 0.0000 0.5000 (multiplicity 1)  2 Rb 2.83
Sb: 0.0000 0.5000 0.0000 (multiplicity 2)  2 Rb 2.99

## Properties
DOS at the Fermi energy: 0.562 states/eV per atom
Electronic total energy: -2.342 eV/atom